# PBE-GGA Na3ErHg12, optimized geometry
data_Na3ErHg12
_chemical_formula_sum 'Na3 Er1 Hg12'
_space_group_name_H-M_alt 'P 4/m m m'
_space_group_IT_number 123
_space_group_name_Hall '-P 4 2'
_cell_length_a 4.629
_cell_length_b 4.629
_cell_length_c 18.756
_cell_angle_alpha 90.00
_cell_angle_beta 90.00
_cell_angle_gamma 90.00
loop_
_atom_site_label
_atom_site_type_symbol
_atom_site_fract_x
_atom_site_fract_y
_atom_site_fract_z
Na1 Na 0.000 0.000 0.000
Na2 Na 0.000 0.000 0.252
Er1 Er 0.000 0.000 0.500
Hg1 Hg 0.000 0.500 0.127
Hg2 Hg 0.000 0.500 0.378
Hg3 Hg 0.500 0.500 0.000
Hg4 Hg 0.500 0.500 0.255
Hg5 Hg 0.500 0.500 0.500
# D(E_F)	5.77	states/eV per cell
# mass density	10.92	g cm⁻³
# ΔH_f (0 K)	-0.2076	eV/atom
# size of the total moment	0.000	μB per atom


# PBE-GGA NaEr2Hg6, optimized geometry
data_NaEr2Hg6
_chemical_formula_sum 'Na2 Er4 Hg12'
_space_group_name_H-M_alt 'C 1 2/m 1'
_space_group_IT_number 12
_space_group_name_Hall '-C 2y'
_cell_length_a 12.481
_cell_length_b 7.656
_cell_length_c 4.962
_cell_angle_alpha 90.00
_cell_angle_beta 98.51
_cell_angle_gamma 90.00
loop_
_atom_site_label
_atom_site_type_symbol
_atom_site_fract_x
_atom_site_fract_y
_atom_site_fract_z
Na1 Na 0.000 0.000 0.000
Er1 Er 0.235 0.500 0.579
Hg1 Hg 0.000 0.282 0.500
Hg2 Hg 0.142 0.307 0.053
# D(E_F)	9.58	states/eV per cell
# mass density	11.06	g cm⁻³
# ΔH_f (0 K)	-0.1740	eV/atom
# size of the total moment	0.000	μB per atom


# PBE-GGA Na5ErHg6, optimized geometry
data_Na5ErHg6
_chemical_formula_sum 'Na5 Er1 Hg6'
_space_group_name_H-M_alt 'P 1 2/m 1'
_space_group_IT_number 10
_space_group_name_Hall '-P 2y'
_cell_length_a 5.275
_cell_length_b 7.395
_cell_length_c 8.295
_cell_angle_alpha 90.00
_cell_angle_beta 108.40
_cell_angle_gamma 90.00
loop_
_atom_site_label
_atom_site_type_symbol
_atom_site_fract_x
_atom_site_fract_y
_atom_site_fract_z
Na1 Na 0.000 0.000 0.000
Na2 Na 0.327 0.500 0.652
Na3 Na 0.333 0.000 0.665
Er1 Er 0.000 0.500 0.000
Hg1 Hg 0.158 0.248 0.318
Hg2 Hg 0.500 0.271 0.000
# D(E_F)	5.84	states/eV per cell
# mass density	8.03	g cm⁻³
# ΔH_f (0 K)	-0.2583	eV/atom
# size of the total moment	0.000	μB per atom


# PBE-GGA NaEr5Hg6, optimized geometry
data_NaEr5Hg6
_chemical_formula_sum 'Na1 Er5 Hg6'
_space_group_name_H-M_alt 'P 1 2/m 1'
_space_group_IT_number 10
_space_group_name_Hall '-P 2y'
_cell_length_a 5.203
_cell_length_b 7.348
_cell_length_c 8.232
_cell_angle_alpha 90.00
_cell_angle_beta 108.33
_cell_angle_gamma 90.00
loop_
_atom_site_label
_atom_site_type_symbol
_atom_site_fract_x
_atom_site_fract_y
_atom_site_fract_z
Na1 Na 0.000 0.000 0.000
Er1 Er 0.000 0.500 0.000
Er2 Er 0.335 0.500 0.669
Er3 Er 0.337 0.000 0.674
Hg1 Hg 0.168 0.250 0.336
Hg2 Hg 0.500 0.254 0.000
# D(E_F)	8.31	states/eV per cell
# mass density	11.47	g cm⁻³
# ΔH_f (0 K)	-0.4368	eV/atom
# size of the total moment	0.000	μB per atom


# PBE-GGA Na2ErHg, optimized geometry
data_Na2ErHg
_chemical_formula_sum 'Na6 Er3 Hg3'
_space_group_name_H-M_alt 'R -3 m'
_space_group_IT_number 166
_space_group_name_Hall '-R 3 2"'
_cell_length_a 3.4043
_cell_length_b 3.4043
_cell_length_c 35.6837
_cell_angle_alpha 90.00
_cell_angle_beta 90.00
_cell_angle_gamma 120.00
loop_
_atom_site_label
_atom_site_type_symbol
_atom_site_fract_x
_atom_site_fract_y
_atom_site_fract_z
Na1 Na 0.0000 0.0000 0.0943
Er1 Er 0.0000 0.0000 0.0000
Hg1 Hg 0.0000 0.0000 0.5000
# D(E_F)	10.52	states/eV per cell
# mass density	5.76	g cm⁻³
# ΔH_f (0 K)	0.1192	eV/atom
# size of the total moment	0.000	μB per atom


# PBE-GGA NaEr3Hg4, optimized geometry
data_NaEr3Hg4
_chemical_formula_sum 'Na3 Er9 Hg12'
_space_group_name_H-M_alt 'R -3 m'
_space_group_IT_number 166
_space_group_name_Hall '-R 3 2"'
_cell_length_a 5.1830
_cell_length_b 5.1830
_cell_length_c 25.5340
_cell_angle_alpha 90.00
_cell_angle_beta 90.00
_cell_angle_gamma 120.00
loop_
_atom_site_label
_atom_site_type_symbol
_atom_site_fract_x
_atom_site_fract_y
_atom_site_fract_z
Na1 Na 0.0000 0.0000 0.0000
Er1 Er 0.0000 0.0000 0.2530
Er2 Er 0.0000 0.0000 0.5000
Hg1 Hg 0.0000 0.0000 0.1258
Hg2 Hg 0.0000 0.0000 0.3759
# D(E_F)	17.71	states/eV per cell
# mass density	11.13	g cm⁻³
# ΔH_f (0 K)	-0.4129	eV/atom
# size of the total moment	0.000	μB per atom


# PBE-GGA NaEr3Hg12, optimized geometry
data_NaEr3Hg12
_chemical_formula_sum 'Na1 Er3 Hg12'
_space_group_name_H-M_alt 'P 4/m m m'
_space_group_IT_number 123
_space_group_name_Hall '-P 4 2'
_cell_length_a 4.531
_cell_length_b 4.531
_cell_length_c 18.879
_cell_angle_alpha 90.00
_cell_angle_beta 90.00
_cell_angle_gamma 90.00
loop_
_atom_site_label
_atom_site_type_symbol
_atom_site_fract_x
_atom_site_fract_y
_atom_site_fract_z
Na1 Na 0.000 0.000 0.000
Er1 Er 0.000 0.000 0.245
Er2 Er 0.000 0.000 0.500
Hg1 Hg 0.000 0.500 0.127
Hg2 Hg 0.000 0.500 0.375
Hg3 Hg 0.500 0.500 0.000
Hg4 Hg 0.500 0.500 0.253
Hg5 Hg 0.500 0.500 0.500
# D(E_F)	7.92	states/eV per cell
# mass density	12.56	g cm⁻³
# ΔH_f (0 K)	-0.2656	eV/atom
# size of the total moment	0.000	μB per atom


# PBE-GGA NaErHg2, optimized geometry
data_NaErHg2
_chemical_formula_sum 'Na3 Er3 Hg6'
_space_group_name_H-M_alt 'R -3 m'
_space_group_IT_number 166
_space_group_name_Hall '-R 3 2"'
_cell_length_a 3.6872
_cell_length_b 3.6872
_cell_length_c 27.9370
_cell_angle_alpha 90.00
_cell_angle_beta 90.00
_cell_angle_gamma 120.00
loop_
_atom_site_label
_atom_site_type_symbol
_atom_site_fract_x
_atom_site_fract_y
_atom_site_fract_z
Na1 Na 0.0000 0.0000 0.0000
Er1 Er 0.0000 0.0000 0.5000
Hg1 Hg 0.0000 0.0000 0.2471
# D(E_F)	6.37	states/eV per cell
# mass density	8.96	g cm⁻³
# ΔH_f (0 K)	-0.2192	eV/atom
# size of the total moment	0.000	μB per atom


Ordered VASP energy results: -0.966, -1.536, -1.339, -2.599, -1.757, -2.440, -1.430, -1.841; unit eV per atom.